## Sc2Pd3Pt (PBE-GGA)

Data for a geometry-optimized Sc2Pd3Pt structure.

Geometry as POSCAR:
```
Sc2Pd3Pt
1.0
-4.217 4.217 6.265
4.217 -4.217 6.265
4.217 4.217 -6.265
Sc Pd Pt
8 12 4
direct
0.268 0.725 0.543 Sc
0.275 0.318 0.543 Sc
0.275 0.732 0.957 Sc
0.318 0.275 0.043 Sc
0.682 0.725 0.957 Sc
0.725 0.268 0.043 Sc
0.725 0.682 0.457 Sc
0.732 0.275 0.457 Sc
0.000 0.500 0.500 Pd
0.086 0.336 0.172 Pd
0.086 0.914 0.750 Pd
0.336 0.086 0.672 Pd
0.336 0.664 0.250 Pd
0.500 0.000 0.000 Pd
0.500 0.500 0.000 Pd
0.500 0.500 0.500 Pd
0.664 0.336 0.750 Pd
0.664 0.914 0.328 Pd
0.914 0.086 0.250 Pd
0.914 0.664 0.828 Pd
0.101 0.351 0.750 Pt
0.351 0.101 0.250 Pt
0.649 0.899 0.750 Pt
0.899 0.649 0.250 Pt
```

Properties
* formation enthalpy at 0 K: -673 meV/atom
* space group: No. 141
* crystal system: tetragonal
* final energy: -6.3868 eV per atom
* calculated volume: 445.6 Å³/cell
* relative energy among the computed polymorphs: 0 meV per atom

=====

## ZnGa2AsO6 (PBE-GGA)

Data for a geometry-optimized ZnGa2AsO6 structure.

Geometry as POSCAR:
```
ZnGa2AsO6
1.0
4.901 -4.501 0.000
4.901 4.501 0.000
-0.892 0.000 5.275
Zn Ga As O
2 4 2 12
direct
0.090 0.910 0.750 Zn
0.910 0.090 0.250 Zn
0.211 0.402 0.720 Ga
0.402 0.211 0.220 Ga
0.598 0.789 0.780 Ga
0.789 0.598 0.280 Ga
0.261 0.739 0.250 As
0.739 0.261 0.750 As
0.007 0.213 0.640 O
0.137 0.643 0.911 O
0.213 0.007 0.140 O
0.275 0.438 0.397 O
0.357 0.863 0.589 O
0.438 0.275 0.897 O
0.562 0.725 0.103 O
0.643 0.137 0.411 O
0.725 0.562 0.603 O
0.787 0.993 0.860 O
0.863 0.357 0.089 O
0.993 0.787 0.360 O
```

Properties
* space group: No. 15
* crystal system: monoclinic
* final energy: -5.6193 eV per atom
* calculated volume: 232.7 Å³/cell
* formation energy without anion corrections: -1.447 eV per atom

=====

Question: Look up the calculated volume of the first one.
Answer: 445.6 Å³/cell

=====

Question: Among the records above, which one has the lowest final energy?
Answer: Sc2Pd3Pt

=====

Question: Which value of calculated volume does entry 1 give?
Answer: 445.6 Å³/cell